A plane-wave DFT calculation with PBE-GGA was carried out for Y2PN after structural relaxation.

Properties
Calculated total energy, eV for the cell shown: -94.6
Excess energy over the best structure of this formula in the dataset, meV per atom: 296
Density of states at the Fermi level, states/eV/atom: 0.065
Uncorrected formation energy, eV/atom: -1.21

```
Y2PN
1.0
3.650 0.000 0.000
-1.825 3.161 0.000
0.000 0.000 19.705
Y P N
6 3 3
Cartesian
0.000 0.000 0.000 Y
0.000 0.000 3.009 Y
0.000 2.107 13.137 Y
0.000 2.107 16.146 Y
1.825 1.054 6.568 Y
1.825 1.054 9.577 Y
0.000 0.000 11.342 P
0.000 2.107 4.774 P
1.825 1.054 17.911 P
0.000 0.000 7.997 N
0.000 2.107 1.429 N
1.825 1.054 14.566 N
```